# 1
Compound: TlPb2Cl
Source: Alexandria
Functional: PBE-GGA
Structure: relaxed

**ρ**: 8657 kg/m3
**Space-group type**: No. 139
**E above lowest polymorph**: 147 meV per atom

Cell: 6.813 6.813 6.813 Å, 140.76 140.76 56.70°
Sites, in units of the cell vectors:
Pb1 0.500 0.500 0.000
Pb2 0.000 0.000 0.000
Tl1 0.250 0.750 0.500
Cl1 0.750 0.250 0.500


# 2
Compound: Tl4PbCl
Source: Alexandria
Functional: PBE-GGA
Structure: relaxed

**ρ**: 9227 kg/m3
**Space-group type**: No. 216

Cell: 6.462 6.462 6.462 Å, 60.00 60.00 60.00°
Sites, in units of the cell vectors:
Tl1 0.375 0.875 0.375
Tl2 0.375 0.375 0.875
Tl3 0.375 0.375 0.375
Tl4 0.875 0.375 0.375
Pb1 0.000 0.000 0.000
Cl1 0.750 0.750 0.750


# 3
Compound: TlPb4Cl8
Source: Alexandria
Functional: PBE-GGA
Structure: relaxed

**ρ**: 4255 kg/m3
**Space-group type**: No. 216

Cell: 8.990 8.990 8.990 Å, 60.00 60.00 60.00°
Sites, in units of the cell vectors:
Cl1 0.142 0.142 0.574
Cl2 0.142 0.142 0.142
Cl3 0.574 0.142 0.142
Cl4 0.608 0.608 0.608
Cl5 0.142 0.574 0.142
Cl6 0.175 0.608 0.608
Cl7 0.608 0.175 0.608
Cl8 0.608 0.608 0.175
Pb1 0.372 0.372 0.883
Pb2 0.372 0.883 0.372
Pb3 0.883 0.372 0.372
Pb4 0.372 0.372 0.372
Tl1 0.750 0.750 0.750


# 4
Compound: TlPb2Cl
Source: Alexandria
Functional: PBE-GGA
Structure: relaxed

**ρ**: 8669 kg/m3
**Space-group type**: No. 6
**E above lowest polymorph**: 16 meV per atom

Cell: 5.614 3.647 6.346 Å, 74.66 90.00 90.00°
Sites, in units of the cell vectors:
Cl1 0.500 0.003 0.633
Pb1 0.000 0.780 0.074
Pb2 0.500 0.222 0.181
Tl1 0.000 0.495 0.612


Looking at uncorrected formation energy for the records above, in order, we have -190.5; -60.7; -989.6; -320.9 meV/atom.